# 1
Crystalline Mg3ScW at its relaxed geometry. Source: the Alexandria database, functional GGA-PBEsol.

Results
Symmetry   Pm-3m, No. 221
Energy of formation from the pure elements   1230 meV/atom
Size of the total moment   1.159 μB/f.u.

```
5
Lattice="5.050 0.000 0.000 0.000 5.050 0.000 0.000 0.000 5.050" Properties=species:S:1:pos:R:3 pbc="T T T"
Mg 0.000 0.000 2.525
Mg 0.000 2.525 0.000
Mg 2.525 0.000 0.000
Sc 2.525 2.525 2.525
W 0.000 0.000 0.000
```

***

# 2
Crystalline MgSc2W at its relaxed geometry. Source: the Alexandria database, functional GGA-PBEsol.

Results
Symmetry   Immm, No. 71
Energy of formation from the pure elements   386 meV/atom
Size of the total moment   0.000 μB/f.u.

```
4
Lattice="-1.540 2.597 4.989 1.540 -2.597 4.989 1.540 2.597 -4.989" Properties=species:S:1:pos:R:3 pbc="T T T"
Mg 0.000 0.000 0.000
Sc 1.540 0.000 2.720
Sc 0.000 2.597 2.269
W 0.000 0.000 4.989
```

***

# 3
Crystalline MgScW2 at its relaxed geometry. Source: the Alexandria database, functional GGA-PBEsol.

Results
Symmetry   Cmmm, No. 65
Energy of formation from the pure elements   440 meV/atom
Size of the total moment   0.000 μB/f.u.

```
4
Lattice="2.751 -4.625 0.000 2.751 4.625 0.000 0.000 0.000 2.718" Properties=species:S:1:pos:R:3 pbc="T T T"
Mg 0.000 0.000 0.000
Sc 2.751 0.000 0.000
W 1.375 2.313 1.359
W 1.375 -2.313 1.359
```

***

# 4
Crystalline MgSc2W at its relaxed geometry. Source: the Alexandria database, functional GGA-PBEsol.

Results
Symmetry   R-3m, No. 166
Energy of formation from the pure elements   258 meV/atom
Size of the total moment   0.007 μB/f.u.

```
4
Lattice="1.526 0.881 10.017 -1.526 0.881 10.017 0.000 -1.762 10.017" Properties=species:S:1:pos:R:3 pbc="T T T"
Mg 0.000 0.000 0.000
Sc 0.000 0.000 7.287
Sc 0.000 0.000 22.764
W 0.000 0.000 15.025
```